Entry 1:
{"formula": "Al2RuSe", "functional": "meta-GGA SCAN", "state": "PBEsol geometry", "e_form_raw_ev_per_atom": -0.165, "cell": [[4.376, 0.000, 0.000], [0.000, 4.376, 0.000], [0.000, 0.000, 3.154]], "species": ["Al", "Al", "Ru", "Se"], "fractional_positions": [[0.000, 0.500, 0.000], [0.500, 0.000, 0.000], [0.000, 0.000, 0.500], [0.500, 0.500, 0.500]]}

***

Entry 2:
{"formula": "AlRu2Se", "functional": "meta-GGA SCAN", "state": "PBEsol geometry", "e_form_raw_ev_per_atom": 0.073, "cell": [[1.468, 0.848, 7.919], [-1.468, 0.848, 7.919], [0.000, -1.695, 7.919]], "species": ["Al", "Ru", "Ru", "Se"], "fractional_positions": [[0.000, 0.000, 0.000], [0.498, 0.498, 0.498], [0.743, 0.743, 0.743], [0.241, 0.241, 0.241]]}

***

Entry 3:
{"formula": "Al2RuSe", "functional": "meta-GGA SCAN", "state": "PBEsol geometry", "e_form_raw_ev_per_atom": -0.152, "cell": [[-1.628, 2.281, 4.037], [1.628, -2.281, 4.037], [1.628, 2.281, -4.037]], "species": ["Al", "Al", "Ru", "Se"], "fractional_positions": [[0.248, 0.248, 0.000], [0.752, 0.752, 0.000], [0.500, 0.000, 0.500], [0.000, 0.500, 0.500]]}

***

Entry 4:
{"formula": "Al2RuSe", "functional": "meta-GGA SCAN", "state": "PBEsol geometry", "e_form_raw_ev_per_atom": -0.002, "cell": [[-2.018, 2.018, 3.747], [2.018, -2.018, 3.747], [2.018, 2.018, -3.747]], "species": ["Al", "Al", "Ru", "Se"], "fractional_positions": [[0.000, 0.000, 0.000], [0.750, 0.250, 0.500], [0.500, 0.500, 0.000], [0.250, 0.750, 0.500]]}

***

Entry 5:
{"formula": "AlRuSe2", "functional": "meta-GGA SCAN", "state": "PBEsol geometry", "e_form_raw_ev_per_atom": -0.375, "cell": [[3.626, 0.000, 0.000], [0.000, 3.626, 0.000], [0.000, 0.000, 6.006]], "species": ["Al", "Ru", "Se", "Se"], "fractional_positions": [[0.000, 0.000, 0.000], [0.500, 0.500, 0.000], [0.000, 0.500, 0.293], [0.500, 0.000, 0.707]]}

***

Entry 6:
{"formula": "Al2SiRu", "functional": "meta-GGA SCAN", "state": "PBEsol geometry", "e_form_raw_ev_per_atom": -0.299, "cell": [[3.202, 0.000, 0.000], [0.000, 3.202, 0.000], [0.000, 0.000, 5.373]], "species": ["Al", "Al", "Si", "Ru"], "fractional_positions": [[0.000, 0.000, 0.000], [0.500, 0.500, 0.265], [0.500, 0.500, 0.751], [0.000, 0.000, 0.521]]}